Entry 1:
# PBE Re2TePb, relaxed
data_Re2TePb
_cell_length_a 3.1848
_cell_length_b 5.2935
_cell_length_c 9.4632
_cell_angle_alpha 90.00
_cell_angle_beta 90.00
_cell_angle_gamma 90.00
_space_group_name_H-M_alt 'I m m m'
_space_group_IT_number 71
_space_group_name_Hall '-I 2 2'
loop_
_atom_site_label
_atom_site_type_symbol
_atom_site_fract_x
_atom_site_fract_y
_atom_site_fract_z
_atom_site_occupancy
Re1 Re 0.0000 0.0000 0.2234 1
Te1 Te 0.0000 0.5000 0.5000 1
Pb1 Pb 0.0000 0.5000 0.0000 1
# distance to the lowest polymorph of the same formula = 0.834 eV per atom
# total magnetic moment = 0.00 μB/f.u.
# ΔE_f (raw) = 1279.5 meV per atom

=====

Entry 2:
# PBE ReTePb2, relaxed
data_ReTePb2
_cell_length_a 6.5741
_cell_length_b 8.8386
_cell_length_c 3.4418
_cell_angle_alpha 90.00
_cell_angle_beta 90.00
_cell_angle_gamma 90.00
_space_group_name_H-M_alt 'C m m m'
_space_group_IT_number 65
_space_group_name_Hall '-C 2 2'
loop_
_atom_site_label
_atom_site_type_symbol
_atom_site_fract_x
_atom_site_fract_y
_atom_site_fract_z
_atom_site_occupancy
Re1 Re 0.0000 0.0000 0.0000 1
Te1 Te 0.0000 0.5000 0.0000 1
Pb1 Pb 0.2500 0.2500 0.5000 1
# total magnetic moment = 1.89 μB/f.u.
# ΔE_f (raw) = 973.3 meV per atom

=====

Entry 3:
# PBE ReTePb2, relaxed
data_ReTePb2
_cell_length_a 3.3118
_cell_length_b 3.3118
_cell_length_c 9.3470
_cell_angle_alpha 90.00
_cell_angle_beta 90.00
_cell_angle_gamma 90.00
_space_group_name_H-M_alt 'P 4 m m'
_space_group_IT_number 99
_space_group_name_Hall 'P 4 -2'
loop_
_atom_site_label
_atom_site_type_symbol
_atom_site_fract_x
_atom_site_fract_y
_atom_site_fract_z
_atom_site_occupancy
Re1 Re 0.0000 0.0000 0.0000 1
Te1 Te 0.5000 0.5000 0.1508 1
Pb1 Pb 0.0000 0.0000 0.4662 1
Pb2 Pb 0.5000 0.5000 0.7821 1
# total magnetic moment = 0.00 μB/f.u.
# ΔE_f (raw) = 401.4 meV per atom

=====

Entry 4:
# PBE Re2TePb, relaxed
data_Re2TePb
_cell_length_a 3.1793
_cell_length_b 4.9261
_cell_length_c 11.2213
_cell_angle_alpha 90.00
_cell_angle_beta 90.00
_cell_angle_gamma 90.00
_space_group_name_H-M_alt 'I m m 2'
_space_group_IT_number 44
_space_group_name_Hall 'I 2 -2'
loop_
_atom_site_label
_atom_site_type_symbol
_atom_site_fract_x
_atom_site_fract_y
_atom_site_fract_z
_atom_site_occupancy
Re1 Re 0.0000 0.0000 0.0000 1
Re2 Re 0.0000 0.5000 0.3386 1
Te1 Te 0.0000 0.5000 0.7519 1
Pb1 Pb 0.0000 0.0000 0.5604 1
# distance to the lowest polymorph of the same formula = 0.480 eV per atom
# total magnetic moment = 0.00 μB/f.u.
# ΔE_f (raw) = 924.9 meV per atom

=====

Entry 5:
# PBE ReTePb2, relaxed
data_ReTePb2
_cell_length_a 3.4304
_cell_length_b 3.4304
_cell_length_c 30.4131
_cell_angle_alpha 90.00
_cell_angle_beta 90.00
_cell_angle_gamma 120.00
_space_group_name_H-M_alt 'R 3 m'
_space_group_IT_number 160
_space_group_name_Hall 'R 3 -2"'
loop_
_atom_site_label
_atom_site_type_symbol
_atom_site_fract_x
_atom_site_fract_y
_atom_site_fract_z
_atom_site_occupancy
Re1 Re 0.0000 0.0000 0.0000 1
Te1 Te 0.0000 0.0000 0.7242 1
Pb1 Pb 0.0000 0.0000 0.2609 1
Pb2 Pb 0.0000 0.0000 0.4966 1
# total magnetic moment = 0.00 μB/f.u.
# ΔE_f (raw) = 369.1 meV per atom

=====

Entry 6:
# PBE ReTePb2, relaxed
data_ReTePb2
_cell_length_a 3.1077
_cell_length_b 3.1017
_cell_length_c 11.1093
_cell_angle_alpha 90.00
_cell_angle_beta 90.09
_cell_angle_gamma 90.00
_space_group_name_H-M_alt 'P 1 2/m 1'
_space_group_IT_number 10
_space_group_name_Hall '-P 2y'
loop_
_atom_site_label
_atom_site_type_symbol
_atom_site_fract_x
_atom_site_fract_y
_atom_site_fract_z
_atom_site_occupancy
Re1 Re 0.0000 0.0000 0.0000 1
Te1 Te 0.0000 0.0000 0.5000 1
Pb1 Pb 0.4984 0.5000 0.8104 1
# total magnetic moment = 0.00 μB/f.u.
# ΔE_f (raw) = 650.8 meV per atom

=====

Entry 7:
# PBE ReTe2Pb, relaxed
data_ReTe2Pb
_cell_length_a 3.4503
_cell_length_b 5.0959
_cell_length_c 5.6037
_cell_angle_alpha 90.00
_cell_angle_beta 90.00
_cell_angle_gamma 90.00
_space_group_name_H-M_alt 'P m m m'
_space_group_IT_number 47
_space_group_name_Hall '-P 2 2'
loop_
_atom_site_label
_atom_site_type_symbol
_atom_site_fract_x
_atom_site_fract_y
_atom_site_fract_z
_atom_site_occupancy
Re1 Re 0.0000 0.0000 0.0000 1
Te1 Te 0.0000 0.5000 0.5000 1
Te2 Te 0.5000 0.5000 0.0000 1
Pb1 Pb 0.5000 0.0000 0.5000 1
# total magnetic moment = 2.09 μB/f.u.
# ΔE_f (raw) = 1054.9 meV per atom

=====

Entry 8:
# PBE ReTe2Pb, relaxed
data_ReTe2Pb
_cell_length_a 3.3562
_cell_length_b 5.4892
_cell_length_c 11.1768
_cell_angle_alpha 90.00
_cell_angle_beta 90.00
_cell_angle_gamma 90.00
_space_group_name_H-M_alt 'C m m m'
_space_group_IT_number 65
_space_group_name_Hall '-C 2 2'
loop_
_atom_site_label
_atom_site_type_symbol
_atom_site_fract_x
_atom_site_fract_y
_atom_site_fract_z
_atom_site_occupancy
Re1 Re 0.0000 0.0000 0.0000 1
Te1 Te 0.0000 0.5000 0.1931 1
Pb1 Pb 0.0000 0.0000 0.5000 1
# total magnetic moment = 0.01 μB/f.u.
# ΔE_f (raw) = 620.6 meV per atom

=====

Entry 9:
# PBE ReTePb2, relaxed
data_ReTePb2
_cell_length_a 5.5821
_cell_length_b 5.5821
_cell_length_c 3.3374
_cell_angle_alpha 90.00
_cell_angle_beta 90.00
_cell_angle_gamma 90.00
_space_group_name_H-M_alt 'P 4/m m m'
_space_group_IT_number 123
_space_group_name_Hall '-P 4 2'
loop_
_atom_site_label
_atom_site_type_symbol
_atom_site_fract_x
_atom_site_fract_y
_atom_site_fract_z
_atom_site_occupancy
Re1 Re 0.0000 0.0000 0.0000 1
Te1 Te 0.5000 0.5000 0.0000 1
Pb1 Pb 0.0000 0.5000 0.5000 1
# total magnetic moment = 2.59 μB/f.u.
# ΔE_f (raw) = 991.6 meV per atom

=====

Entry 10:
# PBE ReTe2Pb, relaxed
data_ReTe2Pb
_cell_length_a 5.3005
_cell_length_b 5.3005
_cell_length_c 3.4349
_cell_angle_alpha 90.00
_cell_angle_beta 90.00
_cell_angle_gamma 90.00
_space_group_name_H-M_alt 'P 4/m m m'
_space_group_IT_number 123
_space_group_name_Hall '-P 4 2'
loop_
_atom_site_label
_atom_site_type_symbol
_atom_site_fract_x
_atom_site_fract_y
_atom_site_fract_z
_atom_site_occupancy
Re1 Re 0.0000 0.0000 0.0000 1
Te1 Te 0.0000 0.5000 0.5000 1
Pb1 Pb 0.5000 0.5000 0.0000 1
# total magnetic moment = 1.51 μB/f.u.
# ΔE_f (raw) = 879.6 meV per atom

=====

Entry 11:
# PBE ReTe2Pb, relaxed
data_ReTe2Pb
_cell_length_a 3.2582
_cell_length_b 3.2763
_cell_length_c 9.6761
_cell_angle_alpha 90.00
_cell_angle_beta 99.67
_cell_angle_gamma 90.00
_space_group_name_H-M_alt 'P 1 2/m 1'
_space_group_IT_number 10
_space_group_name_Hall '-P 2y'
loop_
_atom_site_label
_atom_site_type_symbol
_atom_site_fract_x
_atom_site_fract_y
_atom_site_fract_z
_atom_site_occupancy
Re1 Re 0.0000 0.0000 0.0000 1
Te1 Te 0.4076 0.5000 0.8241 1
Pb1 Pb 0.0000 0.0000 0.5000 1
# total magnetic moment = 0.00 μB/f.u.
# ΔE_f (raw) = 351.8 meV per atom

=====

Entry 12:
# PBE ReTe2Pb, relaxed
data_ReTe2Pb
_cell_length_a 12.9002
_cell_length_b 3.3082
_cell_length_c 6.2835
_cell_angle_alpha 90.00
_cell_angle_beta 116.85
_cell_angle_gamma 90.00
_space_group_name_H-M_alt 'C 1 m 1'
_space_group_IT_number 8
_space_group_name_Hall 'C -2y'
loop_
_atom_site_label
_atom_site_type_symbol
_atom_site_fract_x
_atom_site_fract_y
_atom_site_fract_z
_atom_site_occupancy
Re1 Re 0.0000 0.0000 0.0000 1
Te1 Te 0.1520 0.5000 0.9718 1
Te2 Te 0.4796 0.0000 0.3064 1
Pb1 Pb 0.3165 0.0000 0.6237 1
# total magnetic moment = 0.00 μB/f.u.
# ΔE_f (raw) = 341.3 meV per atom

=====

Entry 13:
# PBE Re2TePb, relaxed
data_Re2TePb
_cell_length_a 3.2932
_cell_length_b 4.4414
_cell_length_c 5.4220
_cell_angle_alpha 90.00
_cell_angle_beta 90.00
_cell_angle_gamma 90.00
_space_group_name_H-M_alt 'P m m m'
_space_group_IT_number 47
_space_group_name_Hall '-P 2 2'
loop_
_atom_site_label
_atom_site_type_symbol
_atom_site_fract_x
_atom_site_fract_y
_atom_site_fract_z
_atom_site_occupancy
Re1 Re 0.0000 0.0000 0.0000 1
Re2 Re 0.5000 0.0000 0.5000 1
Te1 Te 0.0000 0.5000 0.5000 1
Pb1 Pb 0.5000 0.5000 0.0000 1
# distance to the lowest polymorph of the same formula = 0.918 eV per atom
# total magnetic moment = 0.00 μB/f.u.
# ΔE_f (raw) = 1363.1 meV per atom

=====

Entry 14:
# PBE ReTePb2, relaxed
data_ReTePb2
_cell_length_a 3.3719
_cell_length_b 4.6671
_cell_length_c 13.6277
_cell_angle_alpha 90.00
_cell_angle_beta 90.00
_cell_angle_gamma 90.00
_space_group_name_H-M_alt 'I m m 2'
_space_group_IT_number 44
_space_group_name_Hall 'I 2 -2'
loop_
_atom_site_label
_atom_site_type_symbol
_atom_site_fract_x
_atom_site_fract_y
_atom_site_fract_z
_atom_site_occupancy
Re1 Re 0.0000 0.0000 0.0000 1
Te1 Te 0.0000 0.5000 0.6525 1
Pb1 Pb 0.0000 0.0000 0.4693 1
Pb2 Pb 0.0000 0.5000 0.3003 1
# total magnetic moment = 0.00 μB/f.u.
# ΔE_f (raw) = 538.7 meV per atom

=====

Entry 15:
# PBE ReTePb2, relaxed
data_ReTePb2
_cell_length_a 3.3768
_cell_length_b 5.6230
_cell_length_c 10.8725
_cell_angle_alpha 90.00
_cell_angle_beta 90.00
_cell_angle_gamma 90.00
_space_group_name_H-M_alt 'C m m 2'
_space_group_IT_number 35
_space_group_name_Hall 'C 2 -2'
loop_
_atom_site_label
_atom_site_type_symbol
_atom_site_fract_x
_atom_site_fract_y
_atom_site_fract_z
_atom_site_occupancy
Re1 Re 0.0000 0.0000 0.0000 1
Te1 Te 0.0000 0.5000 0.1866 1
Pb1 Pb 0.0000 0.0000 0.4980 1
Pb2 Pb 0.0000 0.5000 0.7807 1
# total magnetic moment = 0.00 μB/f.u.
# ΔE_f (raw) = 673.2 meV per atom

=====

Entry 16:
# PBE ReTe2Pb, relaxed
data_ReTe2Pb
_cell_length_a 7.0087
_cell_length_b 7.0087
_cell_length_c 11.2282
_cell_angle_alpha 90.00
_cell_angle_beta 90.00
_cell_angle_gamma 90.00
_space_group_name_H-M_alt 'I -4 2 d'
_space_group_IT_number 122
_space_group_name_Hall 'I -4 2bw'
loop_
_atom_site_label
_atom_site_type_symbol
_atom_site_fract_x
_atom_site_fract_y
_atom_site_fract_z
_atom_site_occupancy
Re1 Re 0.0000 0.0000 0.0000 1
Te1 Te 0.1781 0.2500 0.1250 1
Pb1 Pb 0.0000 0.0000 0.5000 1
# total magnetic moment = 0.00 μB/f.u.
# ΔE_f (raw) = 517.1 meV per atom

=====

Entry 17:
# PBE Re2TePb, relaxed
data_Re2TePb
_cell_length_a 6.2989
_cell_length_b 6.2989
_cell_length_c 11.3819
_cell_angle_alpha 90.00
_cell_angle_beta 90.00
_cell_angle_gamma 90.00
_space_group_name_H-M_alt 'I -4 2 d'
_space_group_IT_number 122
_space_group_name_Hall 'I -4 2bw'
loop_
_atom_site_label
_atom_site_type_symbol
_atom_site_fract_x
_atom_site_fract_y
_atom_site_fract_z
_atom_site_occupancy
Re1 Re 0.2307 0.2500 0.1250 1
Te1 Te 0.0000 0.0000 0.0000 1
Pb1 Pb 0.0000 0.0000 0.5000 1
# distance to the lowest polymorph of the same formula = 1.328 eV per atom
# total magnetic moment = 1.93 μB/f.u.
# ΔE_f (raw) = 1773.6 meV per atom

=====

Entry 18:
# PBE ReTePb2, relaxed
data_ReTePb2
_cell_length_a 9.3427
_cell_length_b 3.4291
_cell_length_c 7.2888
_cell_angle_alpha 90.00
_cell_angle_beta 110.45
_cell_angle_gamma 90.00
_space_group_name_H-M_alt 'C 1 m 1'
_space_group_IT_number 8
_space_group_name_Hall 'C -2y'
loop_
_atom_site_label
_atom_site_type_symbol
_atom_site_fract_x
_atom_site_fract_y
_atom_site_fract_z
_atom_site_occupancy
Re1 Re 0.0000 0.0000 0.0000 1
Te1 Te 0.2049 0.5000 0.9682 1
Pb1 Pb 0.0568 0.5000 0.3384 1
Pb2 Pb 0.3704 0.0000 0.6401 1
# total magnetic moment = 0.00 μB/f.u.
# ΔE_f (raw) = 447.4 meV per atom

=====

Entry 19:
# PBE Re2TePb, relaxed
data_Re2TePb
_cell_length_a 8.9184
_cell_length_b 3.1467
_cell_length_c 5.9568
_cell_angle_alpha 90.00
_cell_angle_beta 105.10
_cell_angle_gamma 90.00
_space_group_name_H-M_alt 'C 1 2/m 1'
_space_group_IT_number 12
_space_group_name_Hall '-C 2y'
loop_
_atom_site_label
_atom_site_type_symbol
_atom_site_fract_x
_atom_site_fract_y
_atom_site_fract_z
_atom_site_occupancy
Re1 Re 0.2438 0.0000 0.3069 1
Te1 Te 0.0000 0.0000 0.5000 1
Pb1 Pb 0.0000 0.5000 0.0000 1
# distance to the lowest polymorph of the same formula = 0.537 eV per atom
# total magnetic moment = 0.00 μB/f.u.
# ΔE_f (raw) = 981.9 meV per atom

=====

Entry 20:
# PBE ReTe2Pb, relaxed
data_ReTe2Pb
_cell_length_a 3.2727
_cell_length_b 3.2727
_cell_length_c 9.7024
_cell_angle_alpha 90.00
_cell_angle_beta 90.00
_cell_angle_gamma 90.00
_space_group_name_H-M_alt 'P 4 m m'
_space_group_IT_number 99
_space_group_name_Hall 'P 4 -2'
loop_
_atom_site_label
_atom_site_type_symbol
_atom_site_fract_x
_atom_site_fract_y
_atom_site_fract_z
_atom_site_occupancy
Re1 Re 0.0000 0.0000 0.0000 1
Te1 Te 0.0000 0.0000 0.4874 1
Te2 Te 0.5000 0.5000 0.1470 1
Pb1 Pb 0.5000 0.5000 0.7837 1
# total magnetic moment = 0.00 μB/f.u.
# ΔE_f (raw) = 335.5 meV per atom